(1)
This record from Alexandria via LeMat-Bulk describes crystalline Pr3Cd2C at its relaxed geometry. The functional is PBE-GGA.

It has space group P6_3/mmc (No. 194), with a = 7.4520 Å, b = 7.4520 Å, c = 7.0200 Å, α = 90.00°, β = 90.00° and γ = 120.00°. The asymmetric unit holds Pr at (0.1507, 0.3015, 0.2500), Cd at (0.3333, 0.6667, 0.5624) and C at (0.0000, 0.0000, 0.0000).

The formation energy is -0.11 eV per atom.

=====

(2)
This record from Alexandria via LeMat-Bulk describes crystalline SrSnAs2C at its relaxed geometry. The functional is PBE-GGA.

It has space group P4/mmm (No. 123), with a = 5.433 Å, b = 5.433 Å, c = 4.291 Å, α = 90.00°, β = 90.00° and γ = 90.00°. The asymmetric unit holds Sr at (0.000, 0.000, 0.000), Sn at (0.500, 0.500, 0.500), As at (0.000, 0.500, 0.500) and C at (0.500, 0.500, 0.000).

The formation energy is 0.75 eV per atom.

=====

(3)
This record from Alexandria via LeMat-Bulk describes crystalline PaBi3 at its relaxed geometry. The functional is PBE-GGA.

It has space group Fm-3m (No. 225), with a = 7.883 Å, b = 7.883 Å, c = 7.883 Å, α = 90.00°, β = 90.00° and γ = 90.00°. The asymmetric unit holds Pa at (0.000, 0.000, 0.000), Bi at (0.000, 0.000, 0.500) and Bi at (0.250, 0.250, 0.250).

The formation energy is 0.18 eV per atom. The value obtained for the energy above the most stable polymorph in this dataset is 28.95 kJ per mole of atoms.

=====

(4)
This record from Alexandria via LeMat-Bulk describes crystalline BaUAgO5 at its relaxed geometry. The functional is PBE-GGA.

It has space group C2/c (No. 15), with a = 6.834 Å, b = 10.544 Å, c = 8.181 Å, α = 90.00°, β = 109.05° and γ = 90.00°. The asymmetric unit holds Ba at (0.000, 0.178, 0.250), U at (0.000, 0.500, 0.000), Ag at (0.000, 0.173, 0.750), O at (0.000, 0.436, 0.250), O at (0.067, 0.313, 0.576) and O at (0.192, 0.030, 0.931).

The energy relative to the elements, uncorrected is -2.317 eV per atom.